DFT (PBE with a Hubbard U) results for a relaxed Ba3Li2MoO6 crystal.

Cell and atoms, written as POSCAR:
```
Ba3Li2MoO6
1.0
-3.140 -4.407 -2.531
5.620 -0.975 1.775
-2.237 -1.880 6.049
Ba Li O Mo
3 2 6 1
direct
0.000 0.000 0.000
0.667 0.333 0.361
0.333 0.667 0.639
0.333 0.667 0.229
0.667 0.333 0.771
0.327 0.164 0.683
0.164 0.836 0.317
0.836 0.673 0.683
0.673 0.836 0.317
0.836 0.164 0.683
0.164 0.327 0.317
0.000 0.000 0.500
```

Summary:
electronic total energy: -5.99 eV/atom
total magnetic moment: 0.1658 μB per atom